Density functional theory data (PBE-GGA) for an optimized crystal structure of Cu2SiPb.

Structure (CIF):
```
data_Cu2SiPb
_space_group_name_H-M_alt 'P m m m'
_space_group_IT_number 47
_space_group_name_Hall '-P 2 2'
_cell_length_a 3.8086
_cell_length_b 4.1347
_cell_length_c 4.4238
_cell_angle_alpha 90.00
_cell_angle_beta 90.00
_cell_angle_gamma 90.00
loop_
_atom_site_label
_atom_site_type_symbol
_atom_site_fract_x
_atom_site_fract_y
_atom_site_fract_z
Cu1 Cu 0.0000 0.0000 0.0000
Cu2 Cu 0.0000 0.5000 0.5000
Si1 Si 0.5000 0.0000 0.5000
Pb1 Pb 0.5000 0.5000 0.0000
```

Values from the calculation:
Total moment ... 0.00 Bohr magnetons per cell
Relative energy among the computed polymorphs ... 0.347 eV/atom
Formation energy (no corrections) ... 10.18 kcal/mol of atoms
N(E_F) ... 0.40 states/eV per atom